{"formula": "Tl3HgS2", "functional": "PBE-GGA", "state": "optimized geometry", "e_form_raw_ev_per_atom": -0.13, "total_magnetization_mub_per_cell": 0.00, "cell": [[7.5740, 0.0000, 0.0000], [0.0000, 6.7233, -3.2527], [0.0000, -0.5014, 7.5383]], "species": ["Tl", "Tl", "Tl", "Tl", "Tl", "Tl", "Hg", "Hg", "S", "S", "S", "S"], "frac_coords": [[0.7500, 0.1040, 0.6015], [0.7500, 0.5025, 0.3985], [0.2500, 0.8960, 0.3985], [0.7500, 0.8962, 0.0000], [0.2500, 0.1038, 0.0000], [0.2500, 0.4975, 0.6015], [0.2500, 0.5053, 0.0000], [0.7500, 0.4947, 0.0000], [0.5000, 0.1669, 0.3338], [0.0000, 0.1669, 0.3338], [0.0000, 0.8331, 0.6662], [0.5000, 0.8331, 0.6662]]}

{"formula": "UTlHg2S6", "functional": "PBE-GGA", "state": "optimized geometry", "e_form_raw_ev_per_atom": -0.41, "total_magnetization_mub_per_cell": 0.00, "cell": [[6.9181, 0.0005, 0.0007], [3.4592, 5.9908, 0.0009], [3.4602, 1.9987, 6.2875]], "species": ["U", "Tl", "Hg", "Hg", "S", "S", "S", "S", "S", "S"], "frac_coords": [[0.3162, 0.3163, 0.0515], [0.8163, 0.8158, 0.5515], [0.5671, 0.5672, 0.2981], [0.0642, 0.0653, 0.8049], [0.5454, 0.2212, 0.2911], [0.2217, 0.9423, 0.2922], [0.9422, 0.5444, 0.2917], [0.4106, 0.6905, 0.8122], [0.6898, 0.0882, 0.8107], [0.0881, 0.4106, 0.8113]]}

{"formula": "Tl2VHgS4", "functional": "PBE-GGA", "state": "optimized geometry", "e_form_raw_ev_per_atom": -0.45, "total_magnetization_mub_per_cell": 0.00, "cell": [[6.5948, 0.3015, 0.4620], [-2.5372, 6.0946, -0.4620], [-2.5372, -2.8756, 5.3934]], "species": ["Tl", "Tl", "V", "Hg", "S", "S", "S", "S"], "frac_coords": [[0.5000, 0.7500, 0.2500], [0.0000, 0.0000, 0.0000], [0.0000, 0.5000, 0.5000], [0.5000, 0.2500, 0.7500], [0.6654, 0.4720, 0.5076], [0.0356, 0.1934, 0.5280], [0.9644, 0.4924, 0.1578], [0.3346, 0.8422, 0.8066]]}

{"formula": "TlVHg2S4", "functional": "PBE-GGA", "state": "optimized geometry", "e_form_raw_ev_per_atom": -0.34, "total_magnetization_mub_per_cell": 0.00, "cell": [[-6.3033, 0.9883, -1.0930], [-0.7151, -3.3181, 5.5120], [3.7406, 5.6805, 0.5389]], "species": ["Tl", "V", "Hg", "Hg", "S", "S", "S", "S"], "frac_coords": [[0.0463, 0.0463, 0.0925], [0.4895, 0.4895, 0.9790], [0.7576, 0.2576, 0.5152], [0.2576, 0.7576, 0.5152], [0.5819, 0.5819, 0.7414], [0.4175, 0.7905, 0.2079], [0.7905, 0.4175, 0.2079], [0.1595, 0.1595, 0.7414]]}

| no. | calculated volume (A^3/atom) |
| --- | --- |
| 1 | 30.96 |
| 2 | 26.05 |
| 3 | 27.88 |
| 4 | 27.53 |